AcLa2Y2Tm2: relaxed, PBE.

Results
- Formation enthalpy at 0 K: 0.0478 eV per atom
- D(E_F): 11.66 states/eV/cell
- VASP energy: -5.071 eV per atom
- SG: C2/m, No. 12
- Calculated density: 7.0 Mg/m³

The structure in POSCAR format:
```
AcLa2Y2Tm2
1.0
5.7995 -2.5940 0.0000
5.7995 2.5940 0.0000
-1.2598 0.0000 8.0847
Ac La Y Tm
1 2 2 2
Direct
0.0000 0.0000 0.0000
0.2845 0.2845 0.8520
0.7155 0.7155 0.1480
0.1415 0.1415 0.4312
0.8585 0.8585 0.5688
0.4262 0.4262 0.2971
0.5738 0.5738 0.7029
```


AcLaYTm: relaxed, PBE.

Results
- Formation enthalpy at 0 K: 0.0833 eV per atom
- D(E_F): 6.57 states/eV/cell
- Polymorph energy (0 for the lowest one): 27 meV/atom
- VASP energy: -4.910 eV per atom
- SG: F-43m, No. 216
- Calculated density: 7.2 Mg/m³

The structure in POSCAR format:
```
AcLaYTm
1.0
0.0000 4.1651 4.1651
4.1651 0.0000 4.1651
4.1651 4.1651 0.0000
Ac La Y Tm
1 1 1 1
Direct
0.0000 0.0000 0.0000
0.5000 0.5000 0.5000
0.7500 0.7500 0.7500
0.2500 0.2500 0.2500
```


AcLaYTm: relaxed, PBE.

Results
- Formation enthalpy at 0 K: 0.0559 eV per atom
- D(E_F): 7.57 states/eV/cell
- Polymorph energy (0 for the lowest one): 0 meV/atom
- VASP energy: -4.937 eV per atom
- SG: P4mm, No. 99
- Calculated density: 7.2 Mg/m³

The structure in POSCAR format:
```
AcLaYTm
1.0
3.7313 0.0000 0.0000
0.0000 3.7313 0.0000
0.0000 0.0000 10.3309
Ac La Y Tm
1 1 1 1
Direct
0.0000 0.0000 0.0000
0.5000 0.5000 0.7327
0.5000 0.5000 0.2647
0.0000 0.0000 0.4896
```


AcLa5YTm2: relaxed, PBE.

Results
- Formation enthalpy at 0 K: 0.1475 eV per atom
- D(E_F): 26.01 states/eV/cell
- VASP energy: -4.758 eV per atom
- SG: Cmc2_1, No. 36
- Calculated density: 6.8 Mg/m³

The structure in POSCAR format:
```
AcLa5YTm2
1.0
2.8199 -12.1907 0.0000
2.8199 12.1907 0.0000
0.0000 0.0000 9.6444
Ac La Y Tm
2 10 2 4
Direct
0.1041 0.8959 0.5000
0.8959 0.1041 0.0000
0.0259 0.9741 0.8329
0.1082 0.8918 0.1112
0.1852 0.8148 0.8084
0.2400 0.7600 0.4201
0.4925 0.5075 0.6205
0.5075 0.4925 0.1205
0.7600 0.2400 0.9201
0.8148 0.1852 0.3084
0.8918 0.1082 0.6112
0.9741 0.0259 0.3329
0.2787 0.7213 0.1031
0.7213 0.2787 0.6031
0.3247 0.6753 0.7425
0.3888 0.6112 0.3751
0.6112 0.3888 0.8751
0.6753 0.3247 0.2425
```